Compound: Sm2Ho3Zn2
Source: Alexandria
Functional: PBE
Structure: relaxed

relative energy among the computed polymorphs = 3.9 kJ/mol of atoms
magnetic moment = 0.00 Bohr magnetons per cell
electronic total energy = -26.3 eV per cell

Cell: 6.192 6.192 8.105 Å, 114.73 114.73 44.76°
Element x y z (fractional)
Sm 0.136 0.136 0.292
Sm 0.864 0.864 0.708
Ho 0.366 0.366 0.038
Ho 0.500 0.500 0.500
Ho 0.634 0.634 0.962
Zn 0.145 0.145 0.690
Zn 0.855 0.855 0.310

---

Compound: Sm3HoZn2
Source: Alexandria
Functional: PBE
Structure: relaxed

relative energy among the computed polymorphs = 0.0 kJ/mol of atoms
magnetic moment = 0.00 Bohr magnetons per cell
electronic total energy = -22.5 eV per cell

Cell: 3.636 3.636 12.245 Å, 90.00 90.00 90.00°
Element x y z (fractional)
Sm 0.000 0.000 0.000
Sm 0.000 0.000 0.294
Sm 0.000 0.000 0.706
Ho 0.500 0.500 0.500
Zn 0.500 0.500 0.147
Zn 0.500 0.500 0.853

---

Compound: Sm2Ho4Zr
Source: Alexandria
Functional: PBE
Structure: relaxed

magnetic moment = 0.00 Bohr magnetons per cell
electronic total energy = -36.0 eV per cell

Cell: 19.805 19.805 19.805 Å, 10.27 10.27 10.27°
Element x y z (fractional)
Sm 0.000 0.000 0.000
Sm 0.098 0.098 0.098
Ho 0.196 0.196 0.196
Ho 0.283 0.283 0.283
Ho 0.715 0.715 0.715
Ho 0.814 0.814 0.814
Zr 0.906 0.906 0.906

---

Compound: Sm12Ho7Zr
Source: Alexandria
Functional: PBE
Structure: relaxed

relative energy among the computed polymorphs = 1.3 kJ/mol of atoms
magnetic moment = 0.00 Bohr magnetons per cell
electronic total energy = -92.4 eV per cell

Cell: 10.004 10.004 10.004 Å, 112.92 112.92 112.92°
Element x y z (fractional)
Sm 0.000 0.284 0.716
Sm 0.000 0.716 0.284
Sm 0.151 0.151 0.451
Sm 0.151 0.451 0.151
Sm 0.284 0.000 0.716
Sm 0.284 0.716 0.000
Sm 0.451 0.151 0.151
Sm 0.549 0.849 0.849
Sm 0.716 0.000 0.284
Sm 0.716 0.284 0.000
Sm 0.849 0.549 0.849
Sm 0.849 0.849 0.549
Ho 0.000 0.000 0.000
Ho 0.110 0.448 0.448
Ho 0.448 0.110 0.448
Ho 0.448 0.448 0.110
Ho 0.552 0.552 0.890
Ho 0.552 0.890 0.552
Ho 0.890 0.552 0.552
Zr 0.500 0.500 0.500

---

Compound: SmHo6Zr
Source: Alexandria
Functional: PBE
Structure: relaxed

magnetic moment = 0.00 Bohr magnetons per cell
electronic total energy = -40.3 eV per cell

Cell: 4.933 4.933 9.862 Å, 90.00 90.00 90.00°
Element x y z (fractional)
Sm 0.000 0.000 0.000
Ho 0.000 0.500 0.262
Ho 0.000 0.500 0.738
Ho 0.500 0.000 0.262
Ho 0.500 0.000 0.738
Ho 0.500 0.500 0.000
Ho 0.500 0.500 0.500
Zr 0.000 0.000 0.500

---

Compound: Sm3Ho12Zr
Source: Alexandria
Functional: PBE
Structure: relaxed

magnetic moment = 0.00 Bohr magnetons per cell
electronic total energy = -77.1 eV per cell

Cell: 4.978 4.978 19.909 Å, 90.00 90.00 90.00°
Element x y z (fractional)
Sm 0.000 0.000 0.000
Sm 0.000 0.000 0.253
Sm 0.000 0.000 0.747
Ho 0.000 0.500 0.127
Ho 0.000 0.500 0.383
Ho 0.000 0.500 0.617
Ho 0.000 0.500 0.873
Ho 0.500 0.000 0.127
Ho 0.500 0.000 0.383
Ho 0.500 0.000 0.617
Ho 0.500 0.000 0.873
Ho 0.500 0.500 0.000
Ho 0.500 0.500 0.254
Ho 0.500 0.500 0.500
Ho 0.500 0.500 0.746
Zr 0.000 0.000 0.500